No. 1
# NiSn4Pt (GGA-PBE, optimized geometry)
data_NiSn4Pt
_space_group_name_H-M_alt 'C 1 2/c 1'
_space_group_IT_number 15
_cell_length_a 8.5299
_cell_length_b 14.6861
_cell_length_c 5.5062
_cell_angle_alpha 90.00
_cell_angle_beta 128.33
_cell_angle_gamma 90.00
loop_
_space_group_symop_operation_xyz
'x,y,z'
'-x,-y,-z'
'-x,y,-z+1/2'
'x,-y,z+1/2'
'x+1/2,y+1/2,z'
'-x+1/2,-y+1/2,-z'
'-x+1/2,y+1/2,-z+1/2'
'x+1/2,-y+1/2,z+1/2'
loop_
_atom_site_label
_atom_site_fract_x
_atom_site_fract_y
_atom_site_fract_z
Ni1 0.0000 0.1893 0.2500
Sn1 0.1740 0.3059 0.6920
Sn2 0.1889 0.0619 0.6414
Pt1 0.0000 0.4550 0.7500
# spin magnetization	0.00	μB per formula unit
# final energy	-4.881	eV/atom
# DOS(E_F)	0.397	states/eV per atom
# ΔE_f	-0.242	eV per atom
# E above lowest polymorph	0	meV per atom

***

No. 2
# NiSn3Pt12 (GGA-PBE, optimized geometry)
data_NiSn3Pt12
_space_group_name_H-M_alt 'P 4/m m m'
_space_group_IT_number 123
_space_group_name_Hall '-P 4 2'
_cell_length_a 4.0251
_cell_length_b 4.0251
_cell_length_c 16.0727
_cell_angle_alpha 90.00
_cell_angle_beta 90.00
_cell_angle_gamma 90.00
loop_
_atom_site_label
_atom_site_fract_x
_atom_site_fract_y
_atom_site_fract_z
Ni1 0.0000 0.0000 0.0000
Sn1 0.0000 0.0000 0.2411
Sn2 0.0000 0.0000 0.5000
Pt1 0.0000 0.5000 0.1165
Pt2 0.0000 0.5000 0.3721
Pt3 0.5000 0.5000 0.0000
Pt4 0.5000 0.5000 0.2459
Pt5 0.5000 0.5000 0.5000
# spin magnetization	2.12	μB per formula unit
# final energy	-5.933	eV/atom
# DOS(E_F)	1.156	states/eV per atom
# ΔE_f	-0.290	eV per atom

***

No. 3
# Ni3SnPt (GGA-PBE, optimized geometry)
data_Ni3SnPt
_space_group_name_H-M_alt 'P m -3 m'
_space_group_IT_number 221
_space_group_name_Hall '-P 4 2 3'
_cell_length_a 4.6182
_cell_length_b 4.6182
_cell_length_c 4.6182
_cell_angle_alpha 90.00
_cell_angle_beta 90.00
_cell_angle_gamma 90.00
loop_
_atom_site_label
_atom_site_fract_x
_atom_site_fract_y
_atom_site_fract_z
Ni1 0.0000 0.0000 0.5000
Sn1 0.5000 0.5000 0.5000
Pt1 0.0000 0.0000 0.0000
# spin magnetization	2.70	μB per formula unit
# final energy	-4.627	eV/atom
# DOS(E_F)	1.476	states/eV per atom
# ΔE_f	0.851	eV per atom
# E above lowest polymorph	0	meV per atom

***

No. 4
# Ni2SnPt (GGA-PBE, optimized geometry)
data_Ni2SnPt
_space_group_name_H-M_alt 'P 4/m m m'
_space_group_IT_number 123
_space_group_name_Hall '-P 4 2'
_cell_length_a 3.9069
_cell_length_b 3.9069
_cell_length_c 3.7562
_cell_angle_alpha 90.00
_cell_angle_beta 90.00
_cell_angle_gamma 90.00
loop_
_atom_site_label
_atom_site_fract_x
_atom_site_fract_y
_atom_site_fract_z
Ni1 0.0000 0.5000 0.0000
Sn1 0.0000 0.0000 0.5000
Pt1 0.5000 0.5000 0.5000
# spin magnetization	0.00	μB per formula unit
# final energy	-5.698	eV/atom
# DOS(E_F)	0.478	states/eV per atom
# ΔE_f	-0.297	eV per atom